Material: UW4
Method: DFT, PBE
State: optimized geometry

Summary:
DOS(E_F): 7.2 states/eV/cell
crystal system: cubic
symmetry: Pm-3m

Cell lengths 4.743, 4.743, 4.743 Å; angles 90.00, 90.00, 90.00 degrees
Fractional positions:
U1 0.000 0.000 0.000
W1 0.000 0.000 0.500
W2 0.000 0.500 0.000
W3 0.500 0.000 0.000
W4 0.500 0.500 0.500

Material: U4W
Method: DFT, PBE
State: optimized geometry

Summary:
DOS(E_F): 25.9 states/eV/cell
crystal system: cubic
symmetry: Pm-3m

Cell lengths 5.226, 5.226, 5.226 Å; angles 90.00, 90.00, 90.00 degrees
Fractional positions:
U1 0.000 0.000 0.000
U2 0.000 0.500 0.500
U3 0.500 0.000 0.500
U4 0.500 0.500 0.000
W1 0.500 0.500 0.500

Material: U6W
Method: DFT, PBE
State: optimized geometry

Summary:
DOS(E_F): 45.0 states/eV/cell
crystal system: cubic
symmetry: Im-3m

Cell lengths 7.044, 7.044, 7.044 Å; angles 90.00, 90.00, 90.00 degrees
Fractional positions:
U1 0.000 0.250 0.500
U2 0.000 0.500 0.250
U3 0.000 0.500 0.750
U4 0.000 0.750 0.500
U5 0.250 0.000 0.500
U6 0.250 0.500 0.000
U7 0.500 0.000 0.250
U8 0.500 0.000 0.750
U9 0.500 0.250 0.000
U10 0.500 0.750 0.000
U11 0.750 0.000 0.500
U12 0.750 0.500 0.000
W1 0.000 0.000 0.000
W2 0.500 0.500 0.500

Material: Y4U
Method: DFT, PBE
State: optimized geometry

Summary:
DOS(E_F): 10.6 states/eV/cell
crystal system: cubic
symmetry: Pm-3m

Cell lengths 5.563, 5.563, 5.563 Å; angles 90.00, 90.00, 90.00 degrees
Fractional positions:
Y1 0.000 0.000 0.000
Y2 0.000 0.500 0.500
Y3 0.500 0.000 0.500
Y4 0.500 0.500 0.000
U1 0.500 0.500 0.500

Material: YU4
Method: DFT, PBE
State: optimized geometry

Summary:
DOS(E_F): 25.5 states/eV/cell
crystal system: cubic
symmetry: Pm-3m

Cell lengths 5.272, 5.272, 5.272 Å; angles 90.00, 90.00, 90.00 degrees
Fractional positions:
Y1 0.000 0.000 0.000
U1 0.000 0.000 0.500
U2 0.000 0.500 0.000
U3 0.500 0.000 0.000
U4 0.500 0.500 0.500

Material: YUZn4
Method: DFT, PBE
State: optimized geometry

Summary:
DOS(E_F): 9.4 states/eV/cell
crystal system: cubic
symmetry: F-43m

Cell lengths 5.446, 5.446, 5.446 Å; angles 60.00, 60.00, 60.00 degrees
Fractional positions:
Y1 0.000 0.000 0.000
U1 0.250 0.250 0.250
Zn1 0.125 0.625 0.625
Zn2 0.625 0.125 0.625
Zn3 0.625 0.625 0.125
Zn4 0.625 0.625 0.625

Material: YZrU
Method: DFT, PBE
State: optimized geometry

Summary:
DOS(E_F): 26.0 states/eV/cell
crystal system: tetragonal
symmetry: P4_2/mmc

Cell lengths 8.170, 8.170, 5.106 Å; angles 90.00, 90.00, 90.00 degrees
Fractional positions:
Y1 0.000 0.255 0.000
Y2 0.000 0.745 0.000
Y3 0.255 0.000 0.500
Y4 0.745 0.000 0.500
Zr1 0.165 0.500 0.500
Zr2 0.500 0.165 0.000
Zr3 0.500 0.835 0.000
Zr4 0.835 0.500 0.500
U1 0.345 0.500 0.000
U2 0.500 0.345 0.500
U3 0.500 0.655 0.500
U4 0.655 0.500 0.000

Material: YbU6
Method: DFT, PBE
State: optimized geometry

Summary:
DOS(E_F): 91.7 states/eV/cell
crystal system: cubic
symmetry: Im-3m

Cell lengths 7.147, 7.147, 7.147 Å; angles 90.00, 90.00, 90.00 degrees
Fractional positions:
Yb1 0.000 0.000 0.000
Yb2 0.500 0.500 0.500
U1 0.000 0.250 0.500
U2 0.000 0.500 0.250
U3 0.000 0.500 0.750
U4 0.000 0.750 0.500
U5 0.250 0.000 0.500
U6 0.250 0.500 0.000
U7 0.500 0.000 0.250
U8 0.500 0.000 0.750
U9 0.500 0.250 0.000
U10 0.500 0.750 0.000
U11 0.750 0.000 0.500
U12 0.750 0.500 0.000

Material: UZn3
Method: DFT, PBE
State: optimized geometry

Summary:
DOS(E_F): 5.5 states/eV/cell
crystal system: orthorhombic
symmetry: Pmm2

Cell lengths 2.751, 4.547, 5.851 Å; angles 90.00, 90.00, 90.00 degrees
Fractional positions:
U1 0.000 0.000 0.000
Zn1 0.000 0.500 0.646
Zn2 0.500 0.000 0.502
Zn3 0.500 0.500 0.234

Material: U5Zn
Method: DFT, PBE
State: optimized geometry

Summary:
DOS(E_F): 30.1 states/eV/cell
crystal system: orthorhombic
symmetry: Cmmm

Cell lengths 5.156, 15.570, 2.981 Å; angles 90.00, 90.00, 90.00 degrees
Fractional positions:
U1 0.000 0.000 0.000
U2 0.000 0.156 0.500
U3 0.000 0.325 0.000
U4 0.000 0.675 0.000
U5 0.000 0.844 0.500
U6 0.500 0.175 0.000
U7 0.500 0.344 0.500
U8 0.500 0.500 0.000
U9 0.500 0.656 0.500
U10 0.500 0.825 0.000
Zn1 0.000 0.500 0.500
Zn2 0.500 0.000 0.500

Material: UZn3
Method: DFT, PBE
State: optimized geometry

Summary:
DOS(E_F): 3.8 states/eV/cell
crystal system: tetragonal
symmetry: P4/mmm

Cell lengths 2.733, 2.733, 8.779 Å; angles 90.00, 90.00, 90.00 degrees
Fractional positions:
U1 0.000 0.000 0.000
Zn1 0.000 0.000 0.500
Zn2 0.500 0.500 0.277
Zn3 0.500 0.500 0.723

Material: UZn6
Method: DFT, PBE
State: optimized geometry

Summary:
DOS(E_F): 36.0 states/eV/cell
crystal system: orthorhombic
symmetry: Pnma

Cell lengths 8.713, 5.168, 10.520 Å; angles 90.00, 90.00, 90.00 degrees
Fractional positions:
U1 0.242 0.250 0.058
U2 0.258 0.750 0.558
U3 0.742 0.250 0.442
U4 0.758 0.750 0.942
Zn1 0.054 0.750 0.087
Zn2 0.071 0.012 0.306
Zn3 0.071 0.488 0.306
Zn4 0.082 0.250 0.523
Zn5 0.136 0.750 0.851
Zn6 0.193 0.250 0.750
Zn7 0.307 0.750 0.250
Zn8 0.364 0.250 0.351
Zn9 0.418 0.750 0.023
Zn10 0.429 0.512 0.806
Zn11 0.429 0.988 0.806
Zn12 0.446 0.250 0.587
Zn13 0.554 0.750 0.413
Zn14 0.571 0.012 0.194
Zn15 0.571 0.488 0.194
Zn16 0.582 0.250 0.977
Zn17 0.636 0.750 0.649
Zn18 0.693 0.250 0.750
Zn19 0.807 0.750 0.250
Zn20 0.864 0.250 0.149
Zn21 0.918 0.750 0.477
Zn22 0.929 0.512 0.694
Zn23 0.929 0.988 0.694
Zn24 0.946 0.250 0.913

Material: U6Zn
Method: DFT, PBE
State: optimized geometry

Summary:
DOS(E_F): 51.4 states/eV/cell
crystal system: cubic
symmetry: Im-3m

Cell lengths 7.116, 7.116, 7.116 Å; angles 90.00, 90.00, 90.00 degrees
Fractional positions:
U1 0.000 0.250 0.500
U2 0.000 0.500 0.250
U3 0.000 0.500 0.750
U4 0.000 0.750 0.500
U5 0.250 0.000 0.500
U6 0.250 0.500 0.000
U7 0.500 0.000 0.250
U8 0.500 0.000 0.750
U9 0.500 0.250 0.000
U10 0.500 0.750 0.000
U11 0.750 0.000 0.500
U12 0.750 0.500 0.000
Zn1 0.000 0.000 0.000
Zn2 0.500 0.500 0.500

Material: U2Zn17
Method: DFT, PBE
State: optimized geometry

Summary:
DOS(E_F): 40.6 states/eV/cell
crystal system: hexagonal
symmetry: P6_3/mmc

Cell lengths 8.978, 8.978, 8.782 Å; angles 90.00, 90.00, 120.00 degrees
Fractional positions:
U1 0.000 0.000 0.250
U2 0.000 0.000 0.750
U3 0.333 0.667 0.250
U4 0.667 0.333 0.750
Zn1 0.000 0.500 0.000
Zn2 0.000 0.500 0.500
Zn3 0.038 0.367 0.750
Zn4 0.038 0.671 0.750
Zn5 0.161 0.323 0.024
Zn6 0.161 0.323 0.476
Zn7 0.161 0.839 0.024
Zn8 0.161 0.839 0.476
Zn9 0.323 0.161 0.524
Zn10 0.323 0.161 0.976
Zn11 0.329 0.367 0.750
Zn12 0.329 0.962 0.750
Zn13 0.333 0.667 0.599
Zn14 0.333 0.667 0.901
Zn15 0.367 0.038 0.250
Zn16 0.367 0.329 0.250
Zn17 0.500 0.000 0.000
Zn18 0.500 0.000 0.500
Zn19 0.500 0.500 0.000
Zn20 0.500 0.500 0.500
Zn21 0.633 0.671 0.750
Zn22 0.633 0.962 0.750
Zn23 0.667 0.333 0.099
Zn24 0.667 0.333 0.401
Zn25 0.671 0.038 0.250
Zn26 0.671 0.633 0.250
Zn27 0.677 0.839 0.024
Zn28 0.677 0.839 0.476
Zn29 0.839 0.161 0.524
Zn30 0.839 0.161 0.976
Zn31 0.839 0.677 0.524
Zn32 0.839 0.677 0.976
Zn33 0.962 0.329 0.250
Zn34 0.962 0.633 0.250

Material: U4Zn
Method: DFT, PBE
State: optimized geometry

Summary:
DOS(E_F): 32.9 states/eV/cell
crystal system: cubic
symmetry: Pm-3m

Cell lengths 5.242, 5.242, 5.242 Å; angles 90.00, 90.00, 90.00 degrees
Fractional positions:
U1 0.000 0.000 0.000
U2 0.000 0.500 0.500
U3 0.500 0.000 0.500
U4 0.500 0.500 0.000
Zn1 0.500 0.500 0.500

Material: UZn3
Method: DFT, PBE
State: optimized geometry

Summary:
DOS(E_F): 9.2 states/eV/cell
crystal system: cubic
symmetry: Pm-3m

Cell lengths 4.295, 4.295, 4.295 Å; angles 90.00, 90.00, 90.00 degrees
Fractional positions:
U1 0.000 0.000 0.000
Zn1 0.000 0.500 0.500
Zn2 0.500 0.000 0.500
Zn3 0.500 0.500 0.000

Material: UZn4
Method: DFT, PBE
State: optimized geometry

Summary:
DOS(E_F): 12.2 states/eV/cell
crystal system: cubic
symmetry: Pm-3m

Cell lengths 5.737, 5.737, 5.737 Å; angles 90.00, 90.00, 90.00 degrees
Fractional positions:
U1 0.000 0.000 0.000
Zn1 0.000 0.000 0.500
Zn2 0.000 0.500 0.000
Zn3 0.500 0.000 0.000
Zn4 0.500 0.500 0.500

Material: U2Zn17
Method: DFT, PBE
State: optimized geometry

Summary:
DOS(E_F): 18.9 states/eV/cell
crystal system: trigonal
symmetry: R-3m

Cell lengths 6.791, 6.791, 6.791 Å; angles 82.77, 82.77, 82.77 degrees
Fractional positions:
U1 0.163 0.163 0.163
U2 0.837 0.837 0.837
Zn1 0.000 0.500 0.500
Zn2 0.147 0.147 0.660
Zn3 0.147 0.660 0.147
Zn4 0.203 0.500 0.797
Zn5 0.203 0.797 0.500
Zn6 0.340 0.853 0.853
Zn7 0.399 0.399 0.399
Zn8 0.500 0.000 0.500
Zn9 0.500 0.203 0.797
Zn10 0.500 0.500 0.000
Zn11 0.500 0.797 0.203
Zn12 0.601 0.601 0.601
Zn13 0.660 0.147 0.147
Zn14 0.797 0.203 0.500
Zn15 0.797 0.500 0.203
Zn16 0.853 0.340 0.853
Zn17 0.853 0.853 0.340

Material: UZn
Method: DFT, PBE
State: optimized geometry

Summary:
DOS(E_F): 6.4 states/eV/cell
crystal system: monoclinic
symmetry: P2_1/m

Cell lengths 3.388, 3.724, 6.177 Å; angles 90.00, 92.41, 90.00 degrees
Fractional positions:
U1 0.182 0.250 0.098
U2 0.818 0.750 0.902
Zn1 0.274 0.250 0.601
Zn2 0.726 0.750 0.399

Material: UZn3
Method: DFT, PBE
State: optimized geometry

Summary:
DOS(E_F): 17.5 states/eV/cell
crystal system: hexagonal
symmetry: P6_3/mmc

Cell lengths 6.309, 6.309, 4.373 Å; angles 90.00, 90.00, 120.00 degrees
Fractional positions:
U1 0.333 0.667 0.250
U2 0.667 0.333 0.750
Zn1 0.149 0.299 0.750
Zn2 0.149 0.851 0.750
Zn3 0.299 0.149 0.250
Zn4 0.701 0.851 0.750
Zn5 0.851 0.149 0.250
Zn6 0.851 0.701 0.250

Material: UZn13
Method: DFT, PBE
State: optimized geometry

Summary:
DOS(E_F): 18.8 states/eV/cell
crystal system: cubic
symmetry: Fm-3c

Cell lengths 8.580, 8.580, 8.580 Å; angles 60.00, 60.00, 60.00 degrees
Fractional positions:
U1 0.250 0.250 0.250
U2 0.750 0.750 0.750
Zn1 0.000 0.000 0.000
Zn2 0.057 0.301 0.699
Zn3 0.057 0.699 0.943
Zn4 0.057 0.943 0.301
Zn5 0.199 0.443 0.801
Zn6 0.199 0.557 0.443
Zn7 0.199 0.801 0.557
Zn8 0.301 0.057 0.943
Zn9 0.301 0.699 0.057
Zn10 0.301 0.943 0.699
Zn11 0.443 0.199 0.557
Zn12 0.443 0.557 0.801
Zn13 0.443 0.801 0.199
Zn14 0.500 0.500 0.500
Zn15 0.557 0.199 0.801
Zn16 0.557 0.443 0.199
Zn17 0.557 0.801 0.443
Zn18 0.699 0.057 0.301
Zn19 0.699 0.301 0.943
Zn20 0.699 0.943 0.057
Zn21 0.801 0.199 0.443
Zn22 0.801 0.443 0.557
Zn23 0.801 0.557 0.199
Zn24 0.943 0.057 0.699
Zn25 0.943 0.301 0.057
Zn26 0.943 0.699 0.301

Material: UZn2
Method: DFT, PBE
State: optimized geometry

Summary:
DOS(E_F): 8.8 states/eV/cell
crystal system: cubic
symmetry: Fd-3m

Cell lengths 5.357, 5.357, 5.357 Å; angles 60.00, 60.00, 60.00 degrees
Fractional positions:
U1 0.125 0.125 0.125
U2 0.875 0.875 0.875
Zn1 0.000 0.500 0.500
Zn2 0.500 0.000 0.500
Zn3 0.500 0.500 0.000
Zn4 0.500 0.500 0.500

Number 1: formation energy from the elements 238.6 kJ/mol of atoms, final energy -10.15 eV/atom. Number 2: formation energy from the elements 135.2 kJ/mol of atoms, final energy -10.22 eV/atom. Number 3: formation energy from the elements 154.8 kJ/mol of atoms, final energy -9.92 eV/atom. Number 4: formation energy from the elements 78.3 kJ/mol of atoms, final energy -6.62 eV/atom. Number 5: formation energy from the elements 190.0 kJ/mol of atoms, final energy -8.35 eV/atom. Number 6: formation energy from the elements -6.5 kJ/mol of atoms, final energy -3.88 eV/atom. Number 7: formation energy from the elements 43.4 kJ/mol of atoms, final energy -8.32 eV/atom. Number 8: formation energy from the elements 79.2 kJ/mol of atoms, final energy -9.07 eV/atom. Number 9: formation energy from the elements 15.7 kJ/mol of atoms, final energy -3.61 eV/atom. Number 10: formation energy from the elements 13.8 kJ/mol of atoms, final energy -9.48 eV/atom. Number 11: formation energy from the elements 2.2 kJ/mol of atoms, final energy -3.75 eV/atom. Number 12: formation energy from the elements 4.9 kJ/mol of atoms, final energy -2.65 eV/atom. Number 13: formation energy from the elements 113.9 kJ/mol of atoms, final energy -8.68 eV/atom. Number 14: formation energy from the elements -4.5 kJ/mol of atoms, final energy -2.38 eV/atom. Number 15: formation energy from the elements 150.7 kJ/mol of atoms, final energy -7.72 eV/atom. Number 16: formation energy from the elements 27.4 kJ/mol of atoms, final energy -3.49 eV/atom. Number 17: formation energy from the elements 133.7 kJ/mol of atoms, final energy -1.89 eV/atom. Number 18: formation energy from the elements -4.7 kJ/mol of atoms, final energy -2.38 eV/atom. Number 19: formation energy from the elements 7.0 kJ/mol of atoms, final energy -6.21 eV/atom. Number 20: formation energy from the elements 15.9 kJ/mol of atoms, final energy -3.61 eV/atom. Number 21: formation energy from the elements 0.1 kJ/mol of atoms, final energy -1.99 eV/atom. Number 22: formation energy from the elements 6.3 kJ/mol of atoms, final energy -4.55 eV/atom.